No. 1
VASP calculation (PBEsol) on a relaxed structure of NaLiSi2H4O7.

The structure in extended XYZ format:
```
30
Lattice="-1.752 0.034 -4.704 -7.952 -1.339 1.923 -5.170 6.411 0.944" Properties=species:S:1:pos:R:3 pbc="T T T"
H -8.899 0.674 0.870
H -11.579 5.109 0.090
H -13.045 3.482 -2.054
H -5.975 4.433 -2.707
H -3.295 -0.002 -1.927
H -6.749 -0.180 0.226
H -8.126 5.286 -2.063
H -1.829 1.625 0.217
O -6.111 3.162 -1.354
O -10.410 4.095 -0.866
O -5.949 1.154 1.250
O -3.461 3.223 -1.880
O -5.879 5.097 -3.442
O -8.925 3.953 -3.087
O -5.046 1.846 -3.427
O -3.976 -0.669 0.962
O -8.995 0.009 1.605
O -8.763 1.945 -0.483
O -4.464 1.011 -0.971
O -9.828 3.260 1.590
O -7.149 -0.899 -0.334
O -7.726 6.005 -1.503
Na -5.981 5.382 -0.101
Na -8.893 -0.275 -1.736
Si -10.049 2.749 0.031
Si -10.385 4.272 -2.511
Si -4.825 2.358 -1.868
Si -4.489 0.835 0.674
Li -7.861 2.600 -2.099
Li -7.013 2.507 0.262
```

## Properties
Space group   C2/c (15)



No. 2
VASP calculation (PBEsol) on a relaxed structure of NaLiHRu2.

The structure in extended XYZ format:
```
5
Lattice="-1.429 -2.992 -2.302 3.766 -2.648 1.103 -2.328 -1.757 3.729" Properties=species:S:1:pos:R:3 pbc="T T T"
H 0.005 -3.699 1.265
Ru -1.164 -0.879 1.865
Ru 1.883 -1.324 0.552
Li -0.715 -1.496 -1.151
Na 0.000 0.000 0.000
```

## Properties
Space group   P4/mmm (123)



No. 3
VASP calculation (PBEsol) on a relaxed structure of LiNb2H.

The structure in extended XYZ format:
```
4
Lattice="-3.381 0.235 2.363 -3.443 -1.992 -1.116 -1.260 -3.303 2.137" Properties=species:S:1:pos:R:3 pbc="T T T"
H 0.000 0.000 0.000
Nb -2.021 -1.265 0.846
Nb -6.063 -3.795 2.537
Li -4.042 -2.530 1.692
```

## Properties
Space group   Fm-3m (225)



In the order shown, the computed total DFT energy (no corrections) values come out to -0.231, -0.106, -0.221 hartree per atom.